(1)
A crystal of As2IrOs relaxed with PBEsol, computed with SCAN.

## Properties
symmetry: No. 160
ΔH_f (0 K): 16.7 kJ per mole of atoms
DOS at the Fermi energy: 0.5614 states/eV/atom
calculated volume: 68 Å³/cell
electronic total energy: -45.667 eV per atom
energy above the most stable polymorph in this dataset: 2.12 kcal/mol of atoms
crystal system: trigonal

Cell lengths 2.8757, 2.8757, 9.6846 Å; angles 81.46, 81.46, 60.00 degrees
With the nearest neighbours (Å) after each atom.
Element x y z (fractional)
1 As 0.9796 0.9796 0.0611  3 Os 2.49
2 As 0.7689 0.7689 0.6932  3 Ir 2.55
3 Ir 0.5032 0.5032 0.4903  3 As 2.55, 3 Os 2.79
4 Os 0.2482 0.2482 0.2554  3 As 2.49



(2)
A crystal of As2IrOs relaxed with PBEsol, computed with SCAN.

## Properties
symmetry: No. 12
ΔH_f (0 K): 59.9 kJ per mole of atoms
DOS at the Fermi energy: 0.7367 states/eV/atom
calculated volume: 61 Å³/cell
electronic total energy: -45.219 eV per atom
energy above the most stable polymorph in this dataset: 12.44 kcal/mol of atoms
crystal system: monoclinic

Cell lengths 2.8725, 4.9540, 5.1523 Å; angles 118.62, 106.00, 90.37 degrees
With the nearest neighbours (Å) after each atom.
Element x y z (fractional)
1 As 0.0000 0.0000 0.5000  2 Os 2.58, 2 Ir 2.58, 6 As 2.86-2.87
2 As 0.5000 0.5000 0.5000  2 Os 2.58, 2 Ir 2.58, 6 As 2.86-2.87
3 Ir 0.0000 0.0000 0.0000  4 As 2.58, 4 Os 2.86-2.87, 2 Ir 2.87
4 Os 0.5000 0.5000 0.0000  4 As 2.58, 4 Ir 2.86-2.87, 2 Os 2.87



(3)
A crystal of As2IrOs relaxed with PBEsol, computed with SCAN.

## Properties
symmetry: No. 216
ΔH_f (0 K): 74.9 kJ per mole of atoms
DOS at the Fermi energy: 0.7112 states/eV/atom
calculated volume: 62 Å³/cell
electronic total energy: -45.064 eV per atom
energy above the most stable polymorph in this dataset: 16.02 kcal/mol of atoms
crystal system: cubic

Cell lengths 4.4328, 4.4328, 4.4328 Å; angles 60.00, 60.00, 60.00 degrees
With the nearest neighbours (Å) after each atom.
Element x y z (fractional)
1 As 0.0000 0.0000 0.0000  4 Os 2.71, 4 As 2.71
2 As 0.7500 0.7500 0.7500  4 As 2.71, 4 Ir 2.71
3 Ir 0.5000 0.5000 0.5000  4 Os 2.71, 4 As 2.71
4 Os 0.2500 0.2500 0.2500  4 Ir 2.71, 4 As 2.71



(4)
A crystal of As2IrOs relaxed with PBEsol, computed with SCAN.

## Properties
symmetry: No. 123
ΔH_f (0 K): 36.5 kJ per mole of atoms
DOS at the Fermi energy: 0.8964 states/eV/atom
calculated volume: 59 Å³/cell
electronic total energy: -45.462 eV per atom
energy above the most stable polymorph in this dataset: 6.84 kcal/mol of atoms
crystal system: tetragonal

Cell lengths 3.1292, 3.1292, 5.9910 Å; angles 90.00, 90.00, 90.00 degrees
With the nearest neighbours (Å) after each atom.
Element x y z (fractional)
1 As 0.0000 0.0000 0.7499  4 Os 2.67, 4 Ir 2.67
2 As 0.0000 0.0000 0.2501  4 Os 2.67, 4 Ir 2.67
3 Ir 0.5000 0.5000 0.0000  8 As 2.67
4 Os 0.5000 0.5000 0.5000  8 As 2.67



(5)
A crystal of AsIrOs relaxed with PBEsol, computed with SCAN.

## Properties
symmetry: No. 156
ΔH_f (0 K): 28.1 kJ per mole of atoms
DOS at the Fermi energy: 0.8981 states/eV/atom
calculated volume: 43 Å³/cell
electronic total energy: -54.099 eV per atom
crystal system: trigonal

Cell lengths 2.8515, 2.8515, 6.1325 Å; angles 90.00, 90.00, 120.00 degrees
With the nearest neighbours (Å) after each atom.
Element x y z (fractional)
1 As 0.0000 0.0000 0.0059  3 Os 2.54, 3 Ir 2.62
2 Ir 0.6667 0.3333 0.6732  3 As 2.62, 3 Os 2.72, 6 Ir 2.85
3 Os 0.3333 0.6667 0.3209  3 As 2.54, 3 Ir 2.72



(6)
A crystal of As2IrOs relaxed with PBEsol, computed with SCAN.

## Properties
symmetry: No. 8
ΔH_f (0 K): 23.1 kJ per mole of atoms
DOS at the Fermi energy: 0.5705 states/eV/atom
calculated volume: 61 Å³/cell
electronic total energy: -45.601 eV per atom
energy above the most stable polymorph in this dataset: 3.64 kcal/mol of atoms
crystal system: monoclinic

Cell lengths 3.2775, 4.4978, 4.6290 Å; angles 103.97, 90.00, 111.37 degrees
With the nearest neighbours (Å) after each atom.
Element x y z (fractional)
1 As 0.0060 0.0119 0.0552  3 Os 2.50-2.51, 2 Ir 2.72
2 As 0.2391 0.4782 0.6491  3 Ir 2.41-2.45, 2 Os 2.63
3 Ir 0.5164 0.0327 0.5913  3 As 2.41-2.45
4 Os 0.7385 0.4771 0.2044  5 As 2.50-2.63